[1]
## Si2NiSn (PBE)

Data for a relaxed structure of Si2NiSn.

Output
- DFT total energy (eV/atom) = -5.09

Structure (CIF):
```
data_Si2NiSn
_space_group_name_H-M_alt 'I -4 2 d'
_space_group_IT_number 122
_space_group_name_Hall 'I -4 2bw'
_cell_length_a 4.435
_cell_length_b 4.435
_cell_length_c 14.991
_cell_angle_alpha 90.00
_cell_angle_beta 90.00
_cell_angle_gamma 90.00
loop_
_atom_site_label
_atom_site_type_symbol
_atom_site_fract_x
_atom_site_fract_y
_atom_site_fract_z
_atom_site_occupancy
Si1 Si 0.139 0.250 0.125 1
Ni1 Ni 0.000 0.000 0.000 1
Sn1 Sn 0.000 0.000 0.500 1
```

[2]
## LaTl2CuP (PBE)

Data for a relaxed structure of LaTl2CuP.

Output
- energy of formation (eV/f.u.) = 0.17
- DFT total energy (eV/atom) = -3.80

Structure (CIF):
```
data_LaTl2CuP
_space_group_name_H-M_alt 'P 4/m m m'
_space_group_IT_number 123
_space_group_name_Hall '-P 4 2'
_cell_length_a 4.911
_cell_length_b 4.911
_cell_length_c 5.703
_cell_angle_alpha 90.00
_cell_angle_beta 90.00
_cell_angle_gamma 90.00
loop_
_atom_site_label
_atom_site_type_symbol
_atom_site_fract_x
_atom_site_fract_y
_atom_site_fract_z
_atom_site_occupancy
La1 La 0.000 0.000 0.000 1
Tl1 Tl 0.000 0.500 0.500 1
Cu1 Cu 0.000 0.000 0.500 1
P1 P 0.500 0.500 0.000 1
```

[3]
## InHgPd2N (PBE)

Data for a relaxed structure of InHgPd2N.

Output
- DFT total energy (eV/atom) = -3.42

Structure (CIF):
```
data_InHgPd2N
_space_group_name_H-M_alt 'P 4/m m m'
_space_group_IT_number 123
_space_group_name_Hall '-P 4 2'
_cell_length_a 5.153
_cell_length_b 5.153
_cell_length_c 3.967
_cell_angle_alpha 90.00
_cell_angle_beta 90.00
_cell_angle_gamma 90.00
loop_
_atom_site_label
_atom_site_type_symbol
_atom_site_fract_x
_atom_site_fract_y
_atom_site_fract_z
_atom_site_occupancy
In1 In 0.000 0.000 0.000 1
Hg1 Hg 0.500 0.500 0.500 1
Pd1 Pd 0.000 0.500 0.000 1
N1 N 0.000 0.000 0.500 1
```

[4]
## LiNi2Br (PBE)

Data for a relaxed structure of LiNi2Br.

Output
- DFT total energy (eV/atom) = -3.79
- energy above the lowest structure with this stoichiometry (meV per atom) = 0

Structure (CIF):
```
data_LiNi2Br
_space_group_name_H-M_alt 'P 1 m 1'
_space_group_IT_number 6
_space_group_name_Hall 'P -2y'
_cell_length_a 3.259
_cell_length_b 3.177
_cell_length_c 6.189
_cell_angle_alpha 90.00
_cell_angle_beta 105.19
_cell_angle_gamma 90.00
loop_
_atom_site_label
_atom_site_type_symbol
_atom_site_fract_x
_atom_site_fract_y
_atom_site_fract_z
_atom_site_occupancy
Li1 Li 0.000 0.000 0.000 1
Ni1 Ni 0.360 0.500 0.719 1
Ni2 Ni 0.784 0.000 0.567 1
Br1 Br 0.596 0.500 0.193 1
```

[5]
## SrPu2VN4 (PBE)

Data for a relaxed structure of SrPu2VN4.

Output
- DFT total energy (eV/atom) = -10.21

Structure (CIF):
```
data_SrPu2VN4
_space_group_name_H-M_alt 'C m c m'
_space_group_IT_number 63
_space_group_name_Hall '-C 2c 2'
_cell_length_a 3.449
_cell_length_b 11.986
_cell_length_c 11.878
_cell_angle_alpha 90.00
_cell_angle_beta 90.00
_cell_angle_gamma 90.00
loop_
_atom_site_label
_atom_site_type_symbol
_atom_site_fract_x
_atom_site_fract_y
_atom_site_fract_z
_atom_site_occupancy
Sr1 Sr 0.000 0.094 0.250 1
Pu1 Pu 0.000 0.370 0.041 1
V1 V 0.000 0.173 0.750 1
N1 N 0.000 0.000 0.000 1
N2 N 0.000 0.259 0.622 1
N3 N 0.000 0.409 0.250 1
```

[6]
## Al2TcAs (PBE)

Data for a relaxed structure of Al2TcAs.

Output
- energy of formation (eV/f.u.) = -0.31
- DFT total energy (eV/atom) = -5.70

Structure (CIF):
```
data_Al2TcAs
_space_group_name_H-M_alt 'R -3 m'
_space_group_IT_number 166
_space_group_name_Hall '-R 3 2"'
_cell_length_a 2.9687
_cell_length_b 2.9687
_cell_length_c 25.2128
_cell_angle_alpha 90.00
_cell_angle_beta 90.00
_cell_angle_gamma 120.00
loop_
_atom_site_label
_atom_site_type_symbol
_atom_site_fract_x
_atom_site_fract_y
_atom_site_fract_z
_atom_site_occupancy
Al1 Al 0.0000 0.0000 0.2433 1
Tc1 Tc 0.0000 0.0000 0.5000 1
As1 As 0.0000 0.0000 0.0000 1
```

Repeat the fourth record exactly.
## LiNi2Br (PBE)

Data for a relaxed structure of LiNi2Br.

Output
- DFT total energy (eV/atom) = -3.79
- energy above the lowest structure with this stoichiometry (meV per atom) = 0

Structure (CIF):
```
data_LiNi2Br
_space_group_name_H-M_alt 'P 1 m 1'
_space_group_IT_number 6
_space_group_name_Hall 'P -2y'
_cell_length_a 3.259
_cell_length_b 3.177
_cell_length_c 6.189
_cell_angle_alpha 90.00
_cell_angle_beta 105.19
_cell_angle_gamma 90.00
loop_
_atom_site_label
_atom_site_type_symbol
_atom_site_fract_x
_atom_site_fract_y
_atom_site_fract_z
_atom_site_occupancy
Li1 Li 0.000 0.000 0.000 1
Ni1 Ni 0.360 0.500 0.719 1
Ni2 Ni 0.784 0.000 0.567 1
Br1 Br 0.596 0.500 0.193 1
```

> Look up the DFT total energy of the fourth one.

-3.79 eV/atom

> Which of these has the highest DFT total energy?

InHgPd2N